Entry 1:
A plane-wave DFT calculation with PBE was carried out for crystalline CsPdS2 at its relaxed geometry.

```
CsPdS2
1.0
-1.507 -2.132 -2.965
-2.116 -3.245 0.776
-7.271 2.210 -0.526
Cs S Pd
1 2 1
Direct
0.500 0.500 0.500
0.716 0.716 0.853
0.284 0.284 0.147
0.000 0.000 0.000
```

The value obtained for the energy is -4.012 eV/atom. Its calculated density is 5.129 g/cm3.

***

Entry 2:
A plane-wave DFT calculation with PBE was carried out for crystalline Ba2TbHfS6 at its relaxed geometry.

```
Ba2TbHfS6
1.0
7.279 0.000 0.000
0.000 7.288 0.000
0.000 0.000 10.297
Hf S Tb Ba
2 12 2 4
Direct
0.500 0.251 0.000
0.000 0.749 0.500
0.257 0.008 0.000
0.000 0.749 0.257
0.500 0.251 0.243
0.500 0.251 0.757
0.242 0.507 0.500
0.742 0.493 0.000
0.000 0.749 0.743
0.758 0.507 0.500
0.743 0.008 0.000
0.258 0.493 0.000
0.243 0.992 0.500
0.757 0.992 0.500
0.000 0.751 0.000
0.500 0.249 0.500
0.000 0.250 0.249
0.000 0.250 0.751
0.500 0.750 0.251
0.500 0.750 0.749
```

The value obtained for the energy is -6.080 eV/atom. Its calculated density is 4.891 g/cm3.

***

> Look up the calculated density of the second one.

4.891 g/cm3

***

> Number 1 is which compound?

CsPdS2